No. 1
The following is a PBE-GGA calculation of ThSc2TaO8 after structural relaxation, from Alexandria.

a b c (Å): 4.867 4.867 6.802
angles (deg): 90.00 90.00 90.36
Sites, in units of the cell vectors:
O 0.806 0.194 0.219
Th 0.000 0.000 0.500
Sc 0.500 0.500 0.232
O 0.324 0.324 0.500
O 0.194 0.806 0.219
O 0.676 0.676 0.500
O 0.705 0.706 0.000
Sc 0.500 0.500 0.768
O 0.194 0.806 0.781
O 0.295 0.294 0.000
Ta 0.000 0.000 0.000
O 0.806 0.194 0.781

Results
SG: Cmmm, No. 65



No. 2
The following is a PBE-GGA calculation of ScTaTl2O6 after structural relaxation, from Alexandria.

a b c (Å): 5.796 5.796 5.796
angles (deg): 60.00 60.00 60.00
Sites, in units of the cell vectors:
Ta 0.000 0.000 0.000
Tl 0.750 0.750 0.750
Sc 0.500 0.500 0.500
O 0.244 0.244 0.756
O 0.756 0.756 0.244
O 0.244 0.756 0.756
O 0.756 0.244 0.756
O 0.244 0.756 0.244
Tl 0.250 0.250 0.250
O 0.756 0.244 0.244

Results
SG: Fm-3m, No. 225



No. 3
The following is a PBE-GGA calculation of Sc2TaTlO after structural relaxation, from Alexandria.

a b c (Å): 5.078 5.339 5.078
angles (deg): 90.00 90.00 90.00
Sites, in units of the cell vectors:
Ta 0.000 0.000 0.000
Sc 0.500 0.000 0.000
Sc 0.000 0.000 0.500
O 0.500 0.500 0.500
Tl 0.000 0.500 0.000

Results
SG: P4/mmm, No. 123



No. 4
The following is a PBE-GGA calculation of TmScTaO6 after structural relaxation, from Alexandria.

a b c (Å): 4.496 5.463 5.463
angles (deg): 120.00 90.00 90.00
Sites, in units of the cell vectors:
Ta 0.500 0.000 0.000
O 0.262 0.016 0.698
Tm 0.500 0.667 0.333
O 0.262 0.681 0.984
O 0.738 0.302 0.984
O 0.738 0.681 0.698
Sc 0.000 0.333 0.667
O 0.262 0.302 0.319
O 0.738 0.016 0.319

Results
SG: P312, No. 149



no.,DOS at the Fermi energy (states/eV/cell),DFT total energy (eV per atom)
1,4.79,-9.120
2,5.40,-7.263
3,5.18,-5.349
4,4.52,-8.759